1.
Compound: CrCS3
Source: Alexandria
Functional: PBE
Structure: optimized geometry

Unit cell a=3.988 b=3.988 c=3.988 alpha=90.00 beta=90.00 gamma=90.00
Fractional coordinates of all 5 atoms:
Cr (0.500, 0.500, 0.500)
S (0.000, 0.500, 0.000)
S (0.000, 0.000, 0.500)
S (0.500, 0.000, 0.000)
C (0.000, 0.000, 0.000)

Output
energy relative to the elements, uncorrected = 1.3202 eV per atom

***

2.
Compound: LaOsW2
Source: Alexandria
Functional: PBE
Structure: optimized geometry

Unit cell a=3.216 b=4.797 c=4.823 alpha=90.00 beta=90.00 gamma=90.00
Fractional coordinates of all 4 atoms:
La (0.500, 0.000, 0.500)
Os (0.000, 0.500, 0.500)
W (0.000, 0.000, 0.000)
W (0.500, 0.500, 0.000)

Output
DFT formation energy = 740 meV per atom

***

3.
Compound: Tl3PAu
Source: Alexandria
Functional: PBE
Structure: optimized geometry

Unit cell a=5.353 b=5.353 c=5.353 alpha=90.00 beta=90.00 gamma=90.00
Fractional coordinates of all 5 atoms:
P (0.000, 0.000, 0.000)
Tl (0.000, 0.500, 0.000)
Tl (0.000, 0.000, 0.500)
Tl (0.500, 0.000, 0.000)
Au (0.500, 0.500, 0.500)

Output
DFT formation energy = 412 meV per atom

***

4.
Compound: Rb4Tb3BiTe8
Source: Alexandria
Functional: PBE
Structure: optimized geometry

Unit cell a=9.142 b=10.051 c=9.143 alpha=117.09 beta=120.00 gamma=90.00
Fractional coordinates of all 16 atoms:
Rb (0.500, 0.000, 0.000)
Rb (0.500, 0.000, 0.500)
Rb (0.000, 0.000, 0.000)
Rb (0.000, 0.000, 0.500)
Tb (0.500, 0.500, 0.000)
Tb (0.500, 0.500, 0.500)
Tb (0.000, 0.500, 0.500)
Bi (0.000, 0.500, 0.000)
Te (0.236, 0.700, 0.965)
Te (0.236, 0.700, 0.471)
Te (0.267, 0.300, 0.533)
Te (0.729, 0.700, 0.965)
Te (0.271, 0.300, 0.035)
Te (0.733, 0.700, 0.467)
Te (0.764, 0.300, 0.529)
Te (0.764, 0.300, 0.035)

Output
energy relative to the elements, uncorrected = -1.1946 eV per atom

***

5.
Compound: VHg3Pd12
Source: Alexandria
Functional: PBE
Structure: optimized geometry

Unit cell a=3.986 b=3.986 c=16.267 alpha=90.00 beta=90.00 gamma=90.00
Fractional coordinates of all 16 atoms:
V (0.000, 0.000, 0.000)
Hg (0.000, 0.000, 0.245)
Hg (0.000, 0.000, 0.500)
Hg (0.000, 0.000, 0.755)
Pd (0.500, 0.500, 0.000)
Pd (0.500, 0.500, 0.241)
Pd (0.500, 0.500, 0.500)
Pd (0.500, 0.500, 0.759)
Pd (0.500, 0.000, 0.113)
Pd (0.500, 0.000, 0.372)
Pd (0.500, 0.000, 0.628)
Pd (0.500, 0.000, 0.887)
Pd (0.000, 0.500, 0.113)
Pd (0.000, 0.500, 0.372)
Pd (0.000, 0.500, 0.628)
Pd (0.000, 0.500, 0.887)

Output
DFT formation energy = -153 meV per atom

***

6.
Compound: NaLiIn
Source: Alexandria
Functional: PBE
Structure: optimized geometry

Unit cell a=5.417 b=5.417 c=7.014 alpha=67.28 beta=67.28 gamma=60.00
Fractional coordinates of all 6 atoms:
In (0.575, 0.575, 0.274)
In (0.425, 0.425, 0.726)
Li (0.279, 0.279, 0.162)
Li (0.721, 0.721, 0.838)
Na (0.894, 0.894, 0.318)
Na (0.106, 0.106, 0.682)

Output
DFT formation energy = -37 meV per atom

***

7.
Compound: In2ReTe
Source: Alexandria
Functional: PBE
Structure: optimized geometry

Unit cell a=5.762 b=5.762 c=5.762 alpha=144.31 beta=128.35 gamma=64.36
Fractional coordinates of all 4 atoms:
In (0.979, 0.979, 0.000)
In (0.521, 0.521, 0.000)
Re (0.750, 0.250, 0.500)
Te (0.250, 0.750, 0.500)

Output
energy relative to the elements, uncorrected = 0.6923 eV per atom

***

8.
Compound: Li5H12Os2
Source: Alexandria
Functional: PBE
Structure: optimized geometry

Unit cell a=4.923 b=5.854 c=5.854 alpha=61.03 beta=83.78 gamma=83.78
Fractional coordinates of all 19 atoms:
Li (0.041, 0.242, 0.242)
Li (0.501, 0.370, 0.370)
Li (0.500, 0.000, 0.000)
Li (0.499, 0.630, 0.630)
Li (0.959, 0.758, 0.758)
H (0.850, 0.071, 0.071)
H (0.229, 0.115, 0.592)
H (0.229, 0.592, 0.115)
H (0.763, 0.116, 0.657)
H (0.763, 0.657, 0.116)
H (0.806, 0.482, 0.482)
H (0.194, 0.518, 0.518)
H (0.237, 0.884, 0.343)
H (0.237, 0.343, 0.884)
H (0.771, 0.885, 0.408)
H (0.771, 0.408, 0.885)
H (0.150, 0.929, 0.929)
Os (0.000, 0.749, 0.251)
Os (0.000, 0.251, 0.749)

Output
total energy = -0.147 Ha/atom

***

9.
Compound: Zr4FeS
Source: Alexandria
Functional: PBE
Structure: optimized geometry

Unit cell a=3.453 b=6.341 c=11.255 alpha=91.82 beta=90.00 gamma=90.00
Fractional coordinates of all 12 atoms:
Zr (0.500, 0.161, 0.363)
Zr (0.000, 0.339, 0.137)
Zr (0.500, 0.839, 0.637)
Zr (0.000, 0.661, 0.863)
Zr (0.000, 0.683, 0.368)
Zr (0.500, 0.817, 0.132)
Zr (0.000, 0.317, 0.632)
Zr (0.500, 0.183, 0.868)
Fe (0.000, 0.000, 0.500)
Fe (0.500, 0.500, 0.000)
S (0.500, 0.500, 0.500)
S (0.000, 0.000, 0.000)

Output
energy relative to the elements, uncorrected = -0.4042 eV per atom

***

10.
Compound: FeReNi2W
Source: Alexandria
Functional: PBE
Structure: optimized geometry

Unit cell a=4.389 b=4.389 c=4.311 alpha=90.00 beta=90.00 gamma=90.00
Each line ends with the local moment (μB).
Fractional coordinates of all 5 atoms:
Re (0.500, 0.500, 0.500)  0.14
Fe (0.000, 0.000, 0.500)  1.42
W (0.000, 0.000, 0.000)  -0.18
Ni (0.000, 0.500, 0.000)  -0.02
Ni (0.500, 0.000, 0.000)  -0.02

Output
DFT formation energy = 1953 meV per atom

***

11.
Compound: LiReBr3
Source: Alexandria
Functional: PBE
Structure: optimized geometry

Unit cell a=5.231 b=5.231 c=5.231 alpha=90.00 beta=90.00 gamma=90.00
Each line ends with the local moment (μB).
Fractional coordinates of all 5 atoms:
Re (0.000, 0.000, 0.000)  2.38
Br (0.000, 0.500, 0.000)  0.04
Br (0.000, 0.000, 0.500)  0.07
Br (0.500, 0.000, 0.000)  0.08
Li (0.500, 0.500, 0.500)  0.00

Output
energy relative to the elements, uncorrected = 0.0859 eV per atom

***

12.
Compound: La3Sm2TmTe6
Source: Alexandria
Functional: PBE
Structure: optimized geometry

Unit cell a=4.466 b=9.029 c=10.041 alpha=103.19 beta=102.85 gamma=90.00
Fractional coordinates of all 12 atoms:
La (0.500, 0.500, 0.000)
La (0.830, 0.166, 0.659)
La (0.170, 0.834, 0.341)
Sm (0.831, 0.664, 0.663)
Sm (0.169, 0.336, 0.337)
Tm (0.500, 0.000, 0.000)
Te (0.340, 0.914, 0.681)
Te (0.668, 0.578, 0.335)
Te (0.660, 0.086, 0.319)
Te (0.001, 0.236, 0.002)
Te (0.999, 0.764, 0.998)
Te (0.332, 0.422, 0.665)

Output
energy relative to the elements, uncorrected = -1.4592 eV per atom